## Li2ZrAgF8 (PBE)

Data for crystalline Li2ZrAgF8 at its relaxed geometry.

The structure in CIF format:
```
data_Li2ZrAgF8
_space_group_name_H-M_alt 'I -4'
_space_group_IT_number 82
_cell_length_a 5.008
_cell_length_b 5.008
_cell_length_c 10.253
_cell_angle_alpha 90.00
_cell_angle_beta 90.00
_cell_angle_gamma 90.00
loop_
_space_group_symop_operation_xyz
'x,y,z'
'y,-x,-z'
'-x,-y,z'
'-y,x,-z'
'x+1/2,y+1/2,z+1/2'
'y+1/2,-x+1/2,-z+1/2'
'-x+1/2,-y+1/2,z+1/2'
'-y+1/2,x+1/2,-z+1/2'
loop_
_atom_site_label
_atom_site_fract_x
_atom_site_fract_y
_atom_site_fract_z
Li1 0.000 0.000 0.000
Li2 0.000 0.500 0.250
Zr1 0.000 0.000 0.500
Ag1 0.000 0.500 0.750
F1 0.159 0.787 0.332
F2 0.203 0.258 0.928
```

Calculated values
The final energy is -5.25 eV/atom.